## Er8ThSc2 (PBE)

Data for crystalline Er8ThSc2 at its relaxed geometry.

The structure belongs to space group C2/m (No. 12); the cell edges are 17.714, 4.914 and 7.770 Å and the angles 90.00°, 105.41° and 90.00°. The asymmetric unit holds Er at (0.047, 0.000, 0.231), Er at (0.094, 0.500, 0.956), Er at (0.138, 0.000, 0.688), Er at (0.182, 0.500, 0.411), Th at (0.000, 0.500, 0.500) and Sc at (0.229, 0.000, 0.134).

The value obtained for the formation energy is 0.05 eV/atom. The calculation puts the polymorph energy (0 for the lowest one) at 0.000 eV/atom. The calculation puts the total energy at -5.098 eV/atom.